# SrPt3Br (PBE-GGA, relaxed)
data_SrPt3Br
_chemical_formula_sum 'Sr1 Pt3 Br1'
_space_group_name_H-M_alt 'P m -3 m'
_space_group_IT_number 221
_space_group_name_Hall '-P 4 2 3'
_cell_length_a 4.902
_cell_length_b 4.902
_cell_length_c 4.902
_cell_angle_alpha 90.00
_cell_angle_beta 90.00
_cell_angle_gamma 90.00
loop_
_atom_site_label
_atom_site_type_symbol
_atom_site_fract_x
_atom_site_fract_y
_atom_site_fract_z
Sr1 Sr 0.000 0.000 0.000
Pt1 Pt 0.000 0.500 0.500
Br1 Br 0.500 0.500 0.500
# Crystal system ... cubic
# Calculated total energy ... -4.037 eV per atom
# Formation energy from raw total energies ... 0.26 eV per atom
# Total magnetization ... 0.00 μB per cell
# Polymorph energy (0 for the lowest one) ... 0 meV per atom



# BeZnRu2 (PBE-GGA, relaxed)
data_BeZnRu2
_chemical_formula_sum 'Be3 Zn3 Ru6'
_space_group_name_H-M_alt 'R -3 m'
_space_group_IT_number 166
_space_group_name_Hall '-R 3 2"'
_cell_length_a 2.7217
_cell_length_b 2.7217
_cell_length_c 23.8907
_cell_angle_alpha 90.00
_cell_angle_beta 90.00
_cell_angle_gamma 120.00
loop_
_atom_site_label
_atom_site_type_symbol
_atom_site_fract_x
_atom_site_fract_y
_atom_site_fract_z
Be1 Be 0.0000 0.0000 0.0000
Zn1 Zn 0.0000 0.0000 0.5000
Ru1 Ru 0.0000 0.0000 0.2576
# Crystal system ... trigonal
# Calculated total energy ... -5.875 eV per atom
# Total magnetization ... 0.00 μB per cell



# Ca2ScRe (PBE-GGA, relaxed)
data_Ca2ScRe
_chemical_formula_sum 'Ca4 Sc2 Re2'
_space_group_name_H-M_alt 'C 1 m 1'
_space_group_IT_number 8
_cell_length_a 8.959
_cell_length_b 3.281
_cell_length_c 7.455
_cell_angle_alpha 90.00
_cell_angle_beta 95.53
_cell_angle_gamma 90.00
loop_
_space_group_symop_operation_xyz
'x,y,z'
'x,-y,z'
'x+1/2,y+1/2,z'
'x+1/2,-y+1/2,z'
loop_
_atom_site_label
_atom_site_type_symbol
_atom_site_fract_x
_atom_site_fract_y
_atom_site_fract_z
Ca1 Ca 0.000 0.000 0.000
Ca2 Ca 0.223 0.000 0.629
Sc1 Sc 0.261 0.500 0.265
Re1 Re 0.490 0.000 0.372
# Crystal system ... monoclinic
# Calculated total energy ... -5.235 eV per atom
# Total magnetization ... 0.00 μB per cell
# Polymorph energy (0 for the lowest one) ... 190 meV per atom



# Cu2Au7 (PBE-GGA, relaxed)
data_Cu2Au7
_chemical_formula_sum 'Cu2 Au7'
_space_group_name_H-M_alt 'P -3 1 m'
_space_group_IT_number 162
_space_group_name_Hall '-P 3 2'
_cell_length_a 5.0595
_cell_length_b 5.0595
_cell_length_c 6.9048
_cell_angle_alpha 90.00
_cell_angle_beta 90.00
_cell_angle_gamma 120.00
loop_
_atom_site_label
_atom_site_type_symbol
_atom_site_fract_x
_atom_site_fract_y
_atom_site_fract_z
Cu1 Cu 0.3333 0.6667 0.0000
Au1 Au 0.0000 0.0000 0.0000
Au2 Au 0.0000 0.3422 0.6786
# Crystal system ... trigonal
# Calculated total energy ... -3.458 eV per atom
# Total magnetization ... 0.00 μB per cell
# Polymorph energy (0 for the lowest one) ... 0 meV per atom



# Na2Sb4Pd (PBE-GGA, relaxed)
data_Na2Sb4Pd
_chemical_formula_sum 'Na4 Sb8 Pd2'
_space_group_name_H-M_alt 'I 4/m m m'
_space_group_IT_number 139
_space_group_name_Hall '-I 4 2'
_cell_length_a 5.243
_cell_length_b 5.243
_cell_length_c 16.532
_cell_angle_alpha 90.00
_cell_angle_beta 90.00
_cell_angle_gamma 90.00
loop_
_atom_site_label
_atom_site_type_symbol
_atom_site_fract_x
_atom_site_fract_y
_atom_site_fract_z
Na1 Na 0.000 0.000 0.147
Sb1 Sb 0.000 0.000 0.341
Sb2 Sb 0.000 0.500 0.000
Pd1 Pd 0.000 0.000 0.500
# Crystal system ... tetragonal
# Calculated total energy ... -3.387 eV per atom
# Formation energy from raw total energies ... 0.09 eV per atom
# Total magnetization ... 0.00 μB per cell



# AlRe2OsCl (PBE-GGA, relaxed)
data_AlRe2OsCl
_chemical_formula_sum 'Al1 Re2 Os1 Cl1'
_space_group_name_H-M_alt 'P 4/m m m'
_space_group_IT_number 123
_space_group_name_Hall '-P 4 2'
_cell_length_a 4.344
_cell_length_b 4.344
_cell_length_c 4.361
_cell_angle_alpha 90.00
_cell_angle_beta 90.00
_cell_angle_gamma 90.00
loop_
_atom_site_label
_atom_site_type_symbol
_atom_site_fract_x
_atom_site_fract_y
_atom_site_fract_z
Al1 Al 0.000 0.000 0.000
Re1 Re 0.000 0.500 0.500
Os1 Os 0.500 0.500 0.000
Cl1 Cl 0.500 0.500 0.500
# Crystal system ... tetragonal
# Calculated total energy ... -6.654 eV per atom
# Formation energy from raw total energies ... 1.69 eV per atom
# Total magnetization ... 0.00 μB per cell
# Polymorph energy (0 for the lowest one) ... 0 meV per atom



# YNbB2As (PBE-GGA, relaxed)
data_YNbB2As
_chemical_formula_sum 'Y1 Nb1 B2 As1'
_space_group_name_H-M_alt 'P 4/m m m'
_space_group_IT_number 123
_space_group_name_Hall '-P 4 2'
_cell_length_a 4.257
_cell_length_b 4.257
_cell_length_c 5.923
_cell_angle_alpha 90.00
_cell_angle_beta 90.00
_cell_angle_gamma 90.00
loop_
_atom_site_label
_atom_site_type_symbol
_atom_site_fract_x
_atom_site_fract_y
_atom_site_fract_z
Y1 Y 0.000 0.000 0.000
Nb1 Nb 0.000 0.000 0.500
B1 B 0.000 0.500 0.500
As1 As 0.500 0.500 0.000
# Crystal system ... tetragonal
# Calculated total energy ... -5.804 eV per atom
# Total magnetization ... 0.00 μB per cell



# Nd8Er2Cd (PBE-GGA, relaxed)
data_Nd8Er2Cd
_chemical_formula_sum 'Nd16 Er4 Cd2'
_space_group_name_H-M_alt 'C 1 2/m 1'
_space_group_IT_number 12
_cell_length_a 11.427
_cell_length_b 5.108
_cell_length_c 12.807
_cell_angle_alpha 90.00
_cell_angle_beta 104.29
_cell_angle_gamma 90.00
loop_
_space_group_symop_operation_xyz
'x,y,z'
'-x,-y,-z'
'-x,y,-z'
'x,-y,z'
'x+1/2,y+1/2,z'
'-x+1/2,-y+1/2,-z'
'-x+1/2,y+1/2,-z'
'x+1/2,-y+1/2,z'
loop_
_atom_site_label
_atom_site_type_symbol
_atom_site_fract_x
_atom_site_fract_y
_atom_site_fract_z
Nd1 Nd 0.037 0.000 0.322
Nd2 Nd 0.091 0.500 0.141
Nd3 Nd 0.141 0.000 0.953
Nd4 Nd 0.244 0.000 0.588
Er1 Er 0.185 0.500 0.762
Cd1 Cd 0.000 0.500 0.500
# Crystal system ... monoclinic
# Calculated total energy ... -4.395 eV per atom
# Total magnetization ... 0.00 μB per cell
# Polymorph energy (0 for the lowest one) ... 0 meV per atom



# ScHg2Te (PBE-GGA, relaxed)
data_ScHg2Te
_chemical_formula_sum 'Sc2 Hg4 Te2'
_space_group_name_H-M_alt 'I m m 2'
_space_group_IT_number 44
_cell_length_a 3.848
_cell_length_b 4.969
_cell_length_c 11.035
_cell_angle_alpha 90.00
_cell_angle_beta 90.00
_cell_angle_gamma 90.00
loop_
_space_group_symop_operation_xyz
'x,y,z'
'-x,-y,z'
'-x,y,z'
'x,-y,z'
'x+1/2,y+1/2,z+1/2'
'-x+1/2,-y+1/2,z+1/2'
'-x+1/2,y+1/2,z+1/2'
'x+1/2,-y+1/2,z+1/2'
loop_
_atom_site_label
_atom_site_type_symbol
_atom_site_fract_x
_atom_site_fract_y
_atom_site_fract_z
Sc1 Sc 0.000 0.000 0.000
Hg1 Hg 0.000 0.000 0.501
Hg2 Hg 0.000 0.500 0.288
Te1 Te 0.000 0.500 0.693
# Crystal system ... orthorhombic
# Calculated total energy ... -2.862 eV per atom
# Formation energy from raw total energies ... -0.34 eV per atom
# Total magnetization ... 0.00 μB per cell



# TaMo5 (PBE-GGA, relaxed)
data_TaMo5
_chemical_formula_sum 'Ta2 Mo10'
_space_group_name_H-M_alt 'C 1 2/m 1'
_space_group_IT_number 12
_cell_length_a 9.546
_cell_length_b 4.515
_cell_length_c 5.511
_cell_angle_alpha 90.00
_cell_angle_beta 125.22
_cell_angle_gamma 90.00
loop_
_space_group_symop_operation_xyz
'x,y,z'
'-x,-y,-z'
'-x,y,-z'
'x,-y,z'
'x+1/2,y+1/2,z'
'-x+1/2,-y+1/2,-z'
'-x+1/2,y+1/2,-z'
'x+1/2,-y+1/2,z'
loop_
_atom_site_label
_atom_site_type_symbol
_atom_site_fract_x
_atom_site_fract_y
_atom_site_fract_z
Ta1 Ta 0.000 0.000 0.000
Mo1 Mo 0.000 0.000 0.500
Mo2 Mo 0.164 0.500 0.495
Mo3 Mo 0.169 0.500 0.000
# Crystal system ... monoclinic
# Calculated total energy ... -11.101 eV per atom
# Total magnetization ... 0.00 μB per cell
# Polymorph energy (0 for the lowest one) ... 9 meV per atom



# MnSnMoP (PBE-GGA, relaxed)
data_MnSnMoP
_chemical_formula_sum 'Mn1 Sn1 Mo1 P1'
_space_group_name_H-M_alt 'P 3 m 1'
_space_group_IT_number 156
_cell_length_a 3.8780
_cell_length_b 3.8780
_cell_length_c 5.4905
_cell_angle_alpha 90.00
_cell_angle_beta 90.00
_cell_angle_gamma 120.00
loop_
_space_group_symop_operation_xyz
'x,y,z'
'-y,x-y,z'
'-x+y,-x,z'
'-y,-x,z'
'-x+y,y,z'
'x,x-y,z'
loop_
_atom_site_label
_atom_site_type_symbol
_atom_site_fract_x
_atom_site_fract_y
_atom_site_fract_z
Mn1 Mn 0.0000 0.0000 0.0000
Sn1 Sn 0.0000 0.0000 0.5126
Mo1 Mo 0.3333 0.6667 0.1618
P1 P 0.6667 0.3333 0.9138
# Crystal system ... trigonal
# Calculated total energy ... -7.399 eV per atom
# Total magnetization ... 0.01 μB per cell
# Polymorph energy (0 for the lowest one) ... 165 meV per atom



# LiSmGeSe3 (PBE-GGA, relaxed)
data_LiSmGeSe3
_chemical_formula_sum 'Li2 Sm2 Ge2 Se6'
_space_group_name_H-M_alt 'P 1 21/m 1'
_space_group_IT_number 11
_cell_length_a 8.420
_cell_length_b 3.978
_cell_length_c 9.042
_cell_angle_alpha 90.00
_cell_angle_beta 101.72
_cell_angle_gamma 90.00
loop_
_space_group_symop_operation_xyz
'x,y,z'
'-x,-y,-z'
'-x,y+1/2,-z'
'x,-y+1/2,z'
loop_
_atom_site_label
_atom_site_type_symbol
_atom_site_fract_x
_atom_site_fract_y
_atom_site_fract_z
Li1 Li 0.105 0.250 0.094
Sm1 Sm 0.176 0.250 0.725
Ge1 Ge 0.335 0.750 0.361
Se1 Se 0.101 0.250 0.380
Se2 Se 0.211 0.750 0.970
Se3 Se 0.417 0.750 0.652
# Crystal system ... monoclinic
# Calculated total energy ... -4.746 eV per atom
# Formation energy from raw total energies ... -1.13 eV per atom
# Total magnetization ... 0.00 μB per cell



> calculated total energy of number 10 (TaMo5)?

-11.101 eV per atom